1.
Computed, not measured: crystalline Tb4GeAs2 at its relaxed geometry at the PBE level of DFT.

```
data_Tb4GeAs2
_symmetry_space_group_name_H-M 'I -4 2 d'
_symmetry_Int_Tables_number 122
_symmetry_space_group_name_Hall 'I -4 2bw'
_cell_length_a 8.796
_cell_length_b 8.796
_cell_length_c 8.794
_cell_angle_alpha 90.00
_cell_angle_beta 90.00
_cell_angle_gamma 90.00
loop_
_atom_site_label
_atom_site_type_symbol
_atom_site_fract_x
_atom_site_fract_y
_atom_site_fract_z
Tb1 Tb 0.066 0.182 0.308
Ge1 Ge 0.000 0.000 0.000
As1 As 0.124 0.250 0.625
```

**Size of the total moment**: 0.00 μB per cell
**Formation enthalpy at 0 K**: -1.133 eV per atom
**Volume**: 24.3 Å³/atom



2.
Computed, not measured: crystalline Tb6Ge2TeAs3 at its relaxed geometry at the PBE level of DFT.

```
data_Tb6Ge2TeAs3
_symmetry_space_group_name_H-M 'C 1 2/m 1'
_symmetry_Int_Tables_number 12
_cell_length_a 18.331
_cell_length_b 4.133
_cell_length_c 8.486
_cell_angle_alpha 90.00
_cell_angle_beta 103.75
_cell_angle_gamma 90.00
loop_
_symmetry_equiv_pos_as_xyz
'x,y,z'
'-x,-y,-z'
'-x,y,-z'
'x,-y,z'
'x+1/2,y+1/2,z'
'-x+1/2,-y+1/2,-z'
'-x+1/2,y+1/2,-z'
'x+1/2,-y+1/2,z'
loop_
_atom_site_label
_atom_site_type_symbol
_atom_site_fract_x
_atom_site_fract_y
_atom_site_fract_z
Tb1 Tb 0.001 0.000 0.268
Tb2 Tb 0.167 0.500 0.587
Tb3 Tb 0.173 0.500 0.085
Ge1 Ge 0.167 0.000 0.334
Te1 Te 0.000 0.500 0.000
As1 As 0.000 0.500 0.500
As2 As 0.164 0.000 0.834
```

**Size of the total moment**: 0.00 μB per cell
**E_form (uncorrected)**: -1265 meV/atom
**Volume**: 26.0 Å³/atom



3.
Computed, not measured: crystalline Tb6GeTe3As2 at its relaxed geometry at the PBE level of DFT.

```
data_Tb6GeTe3As2
_symmetry_space_group_name_H-M 'C 1 2/m 1'
_symmetry_Int_Tables_number 12
_cell_length_a 18.746
_cell_length_b 4.233
_cell_length_c 8.621
_cell_angle_alpha 90.00
_cell_angle_beta 104.80
_cell_angle_gamma 90.00
loop_
_symmetry_equiv_pos_as_xyz
'x,y,z'
'-x,-y,-z'
'-x,y,-z'
'x,-y,z'
'x+1/2,y+1/2,z'
'-x+1/2,-y+1/2,-z'
'-x+1/2,y+1/2,-z'
'x+1/2,-y+1/2,z'
loop_
_atom_site_label
_atom_site_type_symbol
_atom_site_fract_x
_atom_site_fract_y
_atom_site_fract_z
Tb1 Tb 0.006 0.000 0.231
Tb2 Tb 0.158 0.500 0.099
Tb3 Tb 0.173 0.500 0.567
Ge1 Ge 0.000 0.500 0.000
Te1 Te 0.000 0.500 0.500
Te2 Te 0.168 0.000 0.833
As1 As 0.167 0.000 0.334
```

**Size of the total moment**: 0.00 μB per cell
**E_form (uncorrected)**: -1417 meV/atom
**Volume**: 27.6 Å³/atom



4.
Computed, not measured: crystalline Tb8Ge3Te3As at its relaxed geometry at the PBE level of DFT.

```
data_Tb8Ge3Te3As
_symmetry_space_group_name_H-M 'R -3 m'
_symmetry_Int_Tables_number 166
_symmetry_space_group_name_Hall '-R 3 2"'
_cell_length_a 8.4467
_cell_length_b 8.4467
_cell_length_c 21.0838
_cell_angle_alpha 90.00
_cell_angle_beta 90.00
_cell_angle_gamma 120.00
loop_
_atom_site_label
_atom_site_type_symbol
_atom_site_fract_x
_atom_site_fract_y
_atom_site_fract_z
Tb1 Tb 0.0000 0.0000 0.2406
Tb2 Tb 0.0053 0.5027 0.7589
Ge1 Ge 0.0000 0.5000 0.5000
Te1 Te 0.0000 0.5000 0.0000
As1 As 0.0000 0.0000 0.5000
```

**Size of the total moment**: 0.00 μB per cell
**E_form (uncorrected)**: -1121 meV/atom
**Volume**: 29.0 Å³/atom